Model w:
The following is a GGA-PBE calculation of BaTbEuSbO6 after structural relaxation, from Alexandria via LeMat-Bulk.

```
data_BaTbEuSbO6
_chemical_formula_sum 'Ba4 Tb4 Eu4 Sb4 O24'
_space_group_name_H-M_alt 'F -4 3 m'
_space_group_IT_number 216
_space_group_name_Hall 'F -4 2 3'
_cell_length_a 8.476
_cell_length_b 8.476
_cell_length_c 8.476
_cell_angle_alpha 90.00
_cell_angle_beta 90.00
_cell_angle_gamma 90.00
loop_
_atom_site_label
_atom_site_type_symbol
_atom_site_fract_x
_atom_site_fract_y
_atom_site_fract_z
Ba1 Ba 0.000 0.000 0.000
Tb1 Tb 0.250 0.250 0.750
Eu1 Eu 0.000 0.000 0.500
Sb1 Sb 0.250 0.250 0.250
O1 O 0.013 0.250 0.250
```

Calculated values
Total magnetic moment: 7.00 μB/f.u.
Density of states at the Fermi level: 1.62 states/eV/cell
V: 609.0 Å³/cell


Model x:
The following is a GGA-PBE calculation of BaTbEuSbO6 after structural relaxation, from Alexandria via LeMat-Bulk.

```
data_BaTbEuSbO6
_chemical_formula_sum 'Ba2 Tb2 Eu2 Sb2 O12'
_space_group_name_H-M_alt 'P -1'
_space_group_IT_number 2
_cell_length_a 5.972
_cell_length_b 5.982
_cell_length_c 8.437
_cell_angle_alpha 89.79
_cell_angle_beta 89.75
_cell_angle_gamma 89.85
loop_
_space_group_symop_operation_xyz
'x,y,z'
'-x,-y,-z'
loop_
_atom_site_label
_atom_site_type_symbol
_atom_site_fract_x
_atom_site_fract_y
_atom_site_fract_z
Ba1 Ba 0.005 0.014 0.250
Tb1 Tb 0.000 0.500 0.000
Tb2 Tb 0.500 0.000 0.500
Eu1 Eu 0.496 0.525 0.249
Sb1 Sb 0.000 0.500 0.500
Sb2 Sb 0.500 0.000 0.000
O1 O 0.075 0.487 0.735
O2 O 0.217 0.755 0.475
O3 O 0.239 0.788 0.018
O4 O 0.260 0.289 0.455
O5 O 0.299 0.269 0.043
O6 O 0.451 0.042 0.765
```

Calculated values
Total magnetic moment: 6.98 μB/f.u.
Density of states at the Fermi level: 45.96 states/eV/cell
V: 301.4 Å³/cell


Last place for stability: model w


Model w:
The following is a GGA-PBE calculation of BaEuYSbO6 after structural relaxation, from Alexandria via LeMat-Bulk.

```
data_BaEuYSbO6
_chemical_formula_sum 'Ba4 Eu4 Y4 Sb4 O24'
_space_group_name_H-M_alt 'F -4 3 m'
_space_group_IT_number 216
_space_group_name_Hall 'F -4 2 3'
_cell_length_a 8.461
_cell_length_b 8.461
_cell_length_c 8.461
_cell_angle_alpha 90.00
_cell_angle_beta 90.00
_cell_angle_gamma 90.00
loop_
_atom_site_label
_atom_site_type_symbol
_atom_site_fract_x
_atom_site_fract_y
_atom_site_fract_z
Ba1 Ba 0.000 0.000 0.000
Eu1 Eu 0.000 0.000 0.500
Y1 Y 0.250 0.250 0.750
Sb1 Sb 0.250 0.250 0.250
O1 O 0.013 0.250 0.250
```

Calculated values
Total magnetic moment: 7.00 μB/f.u.
Density of states at the Fermi level: 2.47 states/eV/cell
V: 605.6 Å³/cell


Model x:
The following is a GGA-PBE calculation of BaEuYSbO6 after structural relaxation, from Alexandria via LeMat-Bulk.

```
data_BaEuYSbO6
_chemical_formula_sum 'Ba2 Eu2 Y2 Sb2 O12'
_space_group_name_H-M_alt 'P -1'
_space_group_IT_number 2
_cell_length_a 5.965
_cell_length_b 5.973
_cell_length_c 8.423
_cell_angle_alpha 89.79
_cell_angle_beta 89.75
_cell_angle_gamma 89.85
loop_
_space_group_symop_operation_xyz
'x,y,z'
'-x,-y,-z'
loop_
_atom_site_label
_atom_site_type_symbol
_atom_site_fract_x
_atom_site_fract_y
_atom_site_fract_z
Ba1 Ba 0.005 0.014 0.250
Eu1 Eu 0.496 0.524 0.249
Y1 Y 0.000 0.500 0.000
Y2 Y 0.500 0.000 0.500
Sb1 Sb 0.000 0.500 0.500
Sb2 Sb 0.500 0.000 0.000
O1 O 0.075 0.487 0.735
O2 O 0.219 0.755 0.475
O3 O 0.239 0.787 0.018
O4 O 0.259 0.288 0.455
O5 O 0.297 0.268 0.043
O6 O 0.451 0.042 0.764
```

Calculated values
Total magnetic moment: 6.98 μB/f.u.
Density of states at the Fermi level: 42.21 states/eV/cell
V: 300.1 Å³/cell


Last place for stability: model w